## Ho4UC4 (PBE)

Data for an optimized crystal structure of Ho4UC4.

a = 11.823 Å, b = 3.591 Å, c = 8.740 Å
α = 90.00°, β = 119.75°, γ = 90.00°
Space group C2/m (No. 12)
One atom of each set of equivalent atoms:
Ho 0.109 0.000 0.393 (multiplicity 4)
Ho 0.203 0.500 0.806 (multiplicity 4)
U 0.000 0.500 0.000 (multiplicity 2)
C 0.089 0.000 0.913 (multiplicity 4)
C 0.192 0.500 0.287 (multiplicity 4)

Values from the calculation:
- Density of states at the Fermi level: 8.37 states/eV per cell
- DFT total energy: -7.6900 eV per atom
- Formation energy from the elements: -0.3017 eV/atom